(1)
Compound: Dy6Al2Ga
Source: Alexandria via LeMat-Bulk
Functional: GGA-PBE
Structure: relaxed

a = 8.687 Å, b = 8.687 Å, c = 8.687 Å
α = 146.42°, β = 131.79°, γ = 60.03°
Sites, in units of the cell vectors:
1 Dy 0.083 0.335 0.749
2 Dy 0.247 0.000 0.247
3 Dy 0.414 0.665 0.749
4 Dy 0.586 0.335 0.251
5 Dy 0.753 0.000 0.753
6 Dy 0.917 0.665 0.251
7 Al 0.334 0.834 0.500
8 Al 0.666 0.166 0.500
9 Ga 0.000 0.500 0.500

The energy is -39.0 eV for the cell shown. The energy relative to the lowest polymorph listed for this composition comes out at 1.81 eV per formula unit.

---

(2)
Compound: Dy3AlGa2
Source: Alexandria via LeMat-Bulk
Functional: GGA-PBE
Structure: relaxed

a = 11.693 Å, b = 4.449 Å, c = 10.999 Å
α = 90.00°, β = 90.00°, γ = 90.00°
Sites, in units of the cell vectors:
1 Dy 0.048 0.250 0.129
2 Dy 0.143 0.750 0.586
3 Dy 0.207 0.250 0.820
4 Dy 0.293 0.750 0.320
5 Dy 0.357 0.250 0.086
6 Dy 0.452 0.750 0.629
7 Dy 0.548 0.250 0.371
8 Dy 0.643 0.750 0.914
9 Dy 0.707 0.250 0.680
10 Dy 0.793 0.750 0.180
11 Dy 0.857 0.250 0.414
12 Dy 0.952 0.750 0.871
13 Al 0.126 0.250 0.395
14 Al 0.374 0.750 0.895
15 Al 0.626 0.250 0.105
16 Al 0.874 0.750 0.605
17 Ga 0.015 0.750 0.332
18 Ga 0.184 0.750 0.022
19 Ga 0.316 0.250 0.522
20 Ga 0.485 0.250 0.832
21 Ga 0.515 0.750 0.168
22 Ga 0.684 0.750 0.478
23 Ga 0.816 0.250 0.978
24 Ga 0.985 0.250 0.668

The energy is -106.7 eV for the cell shown. The energy relative to the lowest polymorph listed for this composition comes out at 0.04 eV per formula unit.

---

(3)
Compound: DyAlGa4
Source: Alexandria via LeMat-Bulk
Functional: GGA-PBE
Structure: relaxed

a = 3.886 Å, b = 3.899 Å, c = 8.574 Å
α = 90.00°, β = 90.00°, γ = 90.00°
Sites, in units of the cell vectors:
1 Dy 0.000 0.000 0.000
2 Al 0.500 0.500 0.500
3 Ga 0.000 0.500 0.273
4 Ga 0.000 0.500 0.727
5 Ga 0.500 0.000 0.274
6 Ga 0.500 0.000 0.726

The energy is -21.3 eV for the cell shown. The energy relative to the lowest polymorph listed for this composition comes out at 0.30 eV per formula unit.

---

(4)
Compound: DyAl2Ga6
Source: Alexandria via LeMat-Bulk
Functional: GGA-PBE
Structure: relaxed

a = 6.282 Å, b = 6.282 Å, c = 8.645 Å
α = 100.02°, β = 100.02°, γ = 37.72°
Sites, in units of the cell vectors:
1 Dy 0.000 0.000 0.000
2 Al 0.199 0.199 0.580
3 Al 0.801 0.801 0.420
4 Ga 0.000 0.000 0.349
5 Ga 0.000 0.000 0.651
6 Ga 0.200 0.200 0.267
7 Ga 0.306 0.306 0.939
8 Ga 0.694 0.694 0.061
9 Ga 0.800 0.800 0.733

The energy is -30.1 eV for the cell shown.

---

(5)
Compound: Dy3AlGa5
Source: Alexandria via LeMat-Bulk
Functional: GGA-PBE
Structure: relaxed

a = 8.223 Å, b = 8.223 Å, c = 8.223 Å
α = 118.77°, β = 118.77°, γ = 92.15°
Sites, in units of the cell vectors:
1 Dy 0.134 0.634 0.767
2 Dy 0.250 0.250 0.000
3 Dy 0.366 0.134 0.500
4 Dy 0.634 0.866 0.500
5 Dy 0.750 0.750 0.000
6 Dy 0.866 0.366 0.233
7 Al 0.250 0.750 0.500
8 Al 0.750 0.250 0.500
9 Ga 0.000 0.000 0.000
10 Ga 0.029 0.161 0.500
11 Ga 0.161 0.661 0.132
12 Ga 0.339 0.471 0.500
13 Ga 0.471 0.971 0.132
14 Ga 0.500 0.500 0.000
15 Ga 0.529 0.029 0.868
16 Ga 0.661 0.529 0.500
17 Ga 0.839 0.339 0.868
18 Ga 0.971 0.839 0.500

The energy is -71.5 eV for the cell shown.

---

(6)
Compound: Dy3Al2Ga4
Source: Alexandria via LeMat-Bulk
Functional: GGA-PBE
Structure: relaxed

a = 5.727 Å, b = 5.727 Å, c = 8.481 Å
α = 109.66°, β = 109.66°, γ = 45.35°
Sites, in units of the cell vectors:
1 Dy 0.000 0.000 0.000
2 Dy 0.338 0.338 0.329
3 Dy 0.662 0.662 0.671
4 Al 0.384 0.384 0.718
5 Al 0.616 0.616 0.282
6 Ga 0.069 0.069 0.402
7 Ga 0.290 0.290 0.956
8 Ga 0.710 0.710 0.044
9 Ga 0.931 0.931 0.598

The energy is -38.7 eV for the cell shown.

---

In order of appearance, ΔH_f (0 K) = -0.9; -3.1; -0.8; 0.1; -3.1; -5.3 eV per formula unit.
In order of appearance, total magnetization = 0.00; 0.00; 0.00; 0.00; 0.00; 0.00 μB/f.u..